(1)
## BaCd2InNi (PBE)

Data for a geometry-optimized BaCd2InNi structure.

Geometry as CIF:
```
data_BaCd2InNi
_cell_length_a 5.154
_cell_length_b 5.154
_cell_length_c 5.601
_cell_angle_alpha 90.00
_cell_angle_beta 90.00
_cell_angle_gamma 90.00
_space_group_name_H-M_alt 'P 4/m m m'
_space_group_IT_number 123
_space_group_name_Hall '-P 4 2'
loop_
_atom_site_label
_atom_site_type_symbol
_atom_site_fract_x
_atom_site_fract_y
_atom_site_fract_z
Ba1 Ba 0.000 0.000 0.000
Cd1 Cd 0.000 0.500 0.500
In1 In 0.500 0.500 0.000
Ni1 Ni 0.000 0.000 0.500
```

Computed properties:
DFT formation energy in eV/f.u.: 0.1
DOS at the Fermi energy in states/eV per cell: 4.46
Offset from the most stable computed form in meV/atom: 244

***

(2)
## Ba2CdIn12Ni3 (PBE)

Data for a geometry-optimized Ba2CdIn12Ni3 structure.

Geometry as CIF:
```
data_Ba2CdIn12Ni3
_cell_length_a 9.6195
_cell_length_b 9.6195
_cell_length_c 20.5254
_cell_angle_alpha 90.00
_cell_angle_beta 90.00
_cell_angle_gamma 120.00
_space_group_name_H-M_alt 'R -3 m'
_space_group_IT_number 166
_space_group_name_Hall '-R 3 2"'
loop_
_atom_site_label
_atom_site_type_symbol
_atom_site_fract_x
_atom_site_fract_y
_atom_site_fract_z
Ba1 Ba 0.0000 0.0000 0.0962
Cd1 Cd 0.0000 0.0000 0.5000
In1 In 0.0140 0.5070 0.8754
In2 In 0.0920 0.5460 0.3231
Ni1 Ni 0.0000 0.5000 0.0000
```

Computed properties:
DFT formation energy in eV/f.u.: -0.7
DOS at the Fermi energy in states/eV per cell: 27.87

***

(3)
## Ba2CdInNi (PBE)

Data for a geometry-optimized Ba2CdInNi structure.

Geometry as CIF:
```
data_Ba2CdInNi
_cell_length_a 5.981
_cell_length_b 5.981
_cell_length_c 4.997
_cell_angle_alpha 90.00
_cell_angle_beta 90.00
_cell_angle_gamma 90.00
_space_group_name_H-M_alt 'P 4/m m m'
_space_group_IT_number 123
_space_group_name_Hall '-P 4 2'
loop_
_atom_site_label
_atom_site_type_symbol
_atom_site_fract_x
_atom_site_fract_y
_atom_site_fract_z
Ba1 Ba 0.000 0.500 0.000
Cd1 Cd 0.000 0.000 0.500
In1 In 0.500 0.500 0.500
Ni1 Ni 0.500 0.500 0.000
```

Computed properties:
DFT formation energy in eV/f.u.: -0.9
DOS at the Fermi energy in states/eV per cell: 4.39
Offset from the most stable computed form in meV/atom: 0

***

(4)
## Ba2CdInNi (PBE)

Data for a geometry-optimized Ba2CdInNi structure.

Geometry as CIF:
```
data_Ba2CdInNi
_cell_length_a 5.930
_cell_length_b 5.930
_cell_length_c 5.052
_cell_angle_alpha 90.00
_cell_angle_beta 90.00
_cell_angle_gamma 90.00
_space_group_name_H-M_alt 'P 4/m m m'
_space_group_IT_number 123
_space_group_name_Hall '-P 4 2'
loop_
_atom_site_label
_atom_site_type_symbol
_atom_site_fract_x
_atom_site_fract_y
_atom_site_fract_z
Ba1 Ba 0.000 0.500 0.000
Cd1 Cd 0.000 0.000 0.500
In1 In 0.500 0.500 0.500
Ni1 Ni 0.000 0.000 0.000
```

Computed properties:
DFT formation energy in eV/f.u.: -0.5
DOS at the Fermi energy in states/eV per cell: 5.38
Offset from the most stable computed form in meV/atom: 85

***

(5)
## BaCd2InNi (PBE)

Data for a geometry-optimized BaCd2InNi structure.

Geometry as CIF:
```
data_BaCd2InNi
_cell_length_a 5.166
_cell_length_b 5.166
_cell_length_c 5.032
_cell_angle_alpha 90.00
_cell_angle_beta 90.00
_cell_angle_gamma 90.00
_space_group_name_H-M_alt 'P 4/m m m'
_space_group_IT_number 123
_space_group_name_Hall '-P 4 2'
loop_
_atom_site_label
_atom_site_type_symbol
_atom_site_fract_x
_atom_site_fract_y
_atom_site_fract_z
Ba1 Ba 0.000 0.000 0.000
Cd1 Cd 0.000 0.500 0.500
In1 In 0.500 0.500 0.000
Ni1 Ni 0.500 0.500 0.500
```

Computed properties:
DFT formation energy in eV/f.u.: -1.1
DOS at the Fermi energy in states/eV per cell: 3.86
Offset from the most stable computed form in meV/atom: 0

***

(6)
## Ba2CdInO5 (PBE)

Data for a geometry-optimized Ba2CdInO5 structure.

Geometry as CIF:
```
data_Ba2CdInO5
_cell_length_a 3.721
_cell_length_b 14.788
_cell_length_c 11.106
_cell_angle_alpha 90.00
_cell_angle_beta 90.00
_cell_angle_gamma 90.00
_space_group_name_H-M_alt 'C m c 21'
_space_group_IT_number 36
loop_
_space_group_symop_operation_xyz
'x,y,z'
'-x,-y,z+1/2'
'-x,y,z'
'x,-y,z+1/2'
'x+1/2,y+1/2,z'
'-x+1/2,-y+1/2,z+1/2'
'-x+1/2,y+1/2,z'
'x+1/2,-y+1/2,z+1/2'
loop_
_atom_site_label
_atom_site_type_symbol
_atom_site_fract_x
_atom_site_fract_y
_atom_site_fract_z
Ba1 Ba 0.000 0.108 0.000
Ba2 Ba 0.000 0.136 0.613
Cd1 Cd 0.000 0.221 0.328
In1 In 0.000 0.465 0.782
O1 O 0.000 0.057 0.368
O2 O 0.000 0.283 0.961
O3 O 0.000 0.318 0.709
O4 O 0.000 0.381 0.314
O5 O 0.000 0.499 0.100
```

Computed properties:
Formation energy from raw total energies in eV/f.u.: -15.645
DOS at the Fermi energy in states/eV per cell: 22.56

***

(7)
## BaCd2InO4 (PBE)

Data for a geometry-optimized BaCd2InO4 structure.

Geometry as CIF:
```
data_BaCd2InO4
_cell_length_a 5.899
_cell_length_b 5.899
_cell_length_c 8.431
_cell_angle_alpha 90.00
_cell_angle_beta 90.00
_cell_angle_gamma 90.00
_space_group_name_H-M_alt 'I -4 2 m'
_space_group_IT_number 121
_space_group_name_Hall 'I -4 2'
loop_
_atom_site_label
_atom_site_type_symbol
_atom_site_fract_x
_atom_site_fract_y
_atom_site_fract_z
Ba1 Ba 0.000 0.000 0.000
Cd1 Cd 0.000 0.500 0.250
In1 In 0.000 0.000 0.500
O1 O 0.212 0.212 0.358
```

Computed properties:
Formation energy from raw total energies in eV/f.u.: -11.487
DOS at the Fermi energy in states/eV per cell: 1.18

***

(8)
## Ba3Cd2InO6 (PBE)

Data for a geometry-optimized Ba3Cd2InO6 structure.

Geometry as CIF:
```
data_Ba3Cd2InO6
_cell_length_a 6.2467
_cell_length_b 6.2467
_cell_length_c 6.9542
_cell_angle_alpha 90.00
_cell_angle_beta 90.00
_cell_angle_gamma 120.00
_space_group_name_H-M_alt 'P -3 m 1'
_space_group_IT_number 164
_space_group_name_Hall '-P 3 2"'
loop_
_atom_site_label
_atom_site_type_symbol
_atom_site_fract_x
_atom_site_fract_y
_atom_site_fract_z
Ba1 Ba 0.0000 0.0000 0.0000
Ba2 Ba 0.3333 0.6667 0.6170
Cd1 Cd 0.3333 0.6667 0.1474
In1 In 0.0000 0.0000 0.5000
O1 O 0.1628 0.3257 0.3122
```

Computed properties:
Formation energy from raw total energies in eV/f.u.: -20.079
DOS at the Fermi energy in states/eV per cell: 1.99

***

(9)
## Ba12CdIn4O3 (PBE)

Data for a geometry-optimized Ba12CdIn4O3 structure.

Geometry as CIF:
```
data_Ba12CdIn4O3
_cell_length_a 11.583
_cell_length_b 11.583
_cell_length_c 11.583
_cell_angle_alpha 90.00
_cell_angle_beta 90.00
_cell_angle_gamma 90.00
_space_group_name_H-M_alt 'I m -3 m'
_space_group_IT_number 229
_space_group_name_Hall '-I 4 2 3'
loop_
_atom_site_label
_atom_site_type_symbol
_atom_site_fract_x
_atom_site_fract_y
_atom_site_fract_z
Ba1 Ba 0.000 0.000 0.279
Ba2 Ba 0.000 0.250 0.500
Cd1 Cd 0.000 0.000 0.000
In1 In 0.250 0.250 0.250
O1 O 0.000 0.000 0.500
```

Computed properties:
Formation energy from raw total energies in eV/f.u.: -16.872
DOS at the Fermi energy in states/eV per cell: 47.13

***

(10)
## Ba2CdIn2P4 (PBE)

Data for a geometry-optimized Ba2CdIn2P4 structure.

Geometry as CIF:
```
data_Ba2CdIn2P4
_cell_length_a 16.600
_cell_length_b 4.141
_cell_length_c 7.419
_cell_angle_alpha 90.00
_cell_angle_beta 108.23
_cell_angle_gamma 90.00
_space_group_name_H-M_alt 'C 1 2/m 1'
_space_group_IT_number 12
loop_
_space_group_symop_operation_xyz
'x,y,z'
'-x,-y,-z'
'-x,y,-z'
'x,-y,z'
'x+1/2,y+1/2,z'
'-x+1/2,-y+1/2,-z'
'-x+1/2,y+1/2,-z'
'x+1/2,-y+1/2,z'
loop_
_atom_site_label
_atom_site_type_symbol
_atom_site_fract_x
_atom_site_fract_y
_atom_site_fract_z
Ba1 Ba 0.121 0.000 0.033
Cd1 Cd 0.000 0.000 0.500
In1 In 0.166 0.500 0.503
P1 P 0.019 0.500 0.261
P2 P 0.225 0.000 0.717
```

Computed properties:
DFT formation energy in eV/f.u.: -4.6
DOS at the Fermi energy in states/eV per cell: 1.36

***

(11)
## Ba2Cd3InPb4 (PBE)

Data for a geometry-optimized Ba2Cd3InPb4 structure.

Geometry as CIF:
```
data_Ba2Cd3InPb4
_cell_length_a 5.139
_cell_length_b 5.139
_cell_length_c 12.461
_cell_angle_alpha 90.00
_cell_angle_beta 90.00
_cell_angle_gamma 90.00
_space_group_name_H-M_alt 'P -4 m 2'
_space_group_IT_number 115
loop_
_space_group_symop_operation_xyz
'x,y,z'
'y,-x,-z'
'-x,-y,z'
'-y,x,-z'
'-x,y,z'
'-y,-x,-z'
'x,-y,z'
'y,x,-z'
loop_
_atom_site_label
_atom_site_type_symbol
_atom_site_fract_x
_atom_site_fract_y
_atom_site_fract_z
Ba1 Ba 0.000 0.500 0.250
Cd1 Cd 0.000 0.000 0.000
Cd2 Cd 0.000 0.500 0.632
In1 In 0.500 0.500 0.000
Pb1 Pb 0.000 0.000 0.500
Pb2 Pb 0.000 0.500 0.865
Pb3 Pb 0.500 0.500 0.500
```

Computed properties:
DFT formation energy in eV/f.u.: -3.0
DOS at the Fermi energy in states/eV per cell: 4.02

***

(12)
## BaCdInPb2 (PBE)

Data for a geometry-optimized BaCdInPb2 structure.

Geometry as CIF:
```
data_BaCdInPb2
_cell_length_a 4.870
_cell_length_b 4.870
_cell_length_c 14.057
_cell_angle_alpha 90.00
_cell_angle_beta 90.00
_cell_angle_gamma 90.00
_space_group_name_H-M_alt 'I -4 m 2'
_space_group_IT_number 119
_space_group_name_Hall 'I -4 -2'
loop_
_atom_site_label
_atom_site_type_symbol
_atom_site_fract_x
_atom_site_fract_y
_atom_site_fract_z
Ba1 Ba 0.000 0.000 0.000
Cd1 Cd 0.000 0.500 0.750
In1 In 0.000 0.500 0.250
Pb1 Pb 0.000 0.000 0.386
```

Computed properties:
DFT formation energy in eV/f.u.: -1.4
DOS at the Fermi energy in states/eV per cell: 3.12

***

(13)
## Ba2Cd4InPb3 (PBE)

Data for a geometry-optimized Ba2Cd4InPb3 structure.

Geometry as CIF:
```
data_Ba2Cd4InPb3
_cell_length_a 4.966
_cell_length_b 4.966
_cell_length_c 12.840
_cell_angle_alpha 90.00
_cell_angle_beta 90.00
_cell_angle_gamma 90.00
_space_group_name_H-M_alt 'P -4 m 2'
_space_group_IT_number 115
loop_
_space_group_symop_operation_xyz
'x,y,z'
'y,-x,-z'
'-x,-y,z'
'-y,x,-z'
'-x,y,z'
'-y,-x,-z'
'x,-y,z'
'y,x,-z'
loop_
_atom_site_label
_atom_site_type_symbol
_atom_site_fract_x
_atom_site_fract_y
_atom_site_fract_z
Ba1 Ba 0.000 0.500 0.247
Cd1 Cd 0.000 0.000 0.000
Cd2 Cd 0.000 0.500 0.635
Cd3 Cd 0.500 0.500 0.000
In1 In 0.000 0.000 0.500
Pb1 Pb 0.000 0.500 0.863
Pb2 Pb 0.500 0.500 0.500
```

Computed properties:
DFT formation energy in eV/f.u.: -3.2
DOS at the Fermi energy in states/eV per cell: 2.48

***

(14)
## BaCd2InPb (PBE)

Data for a geometry-optimized BaCd2InPb structure.

Geometry as CIF:
```
data_BaCd2InPb
_cell_length_a 4.929
_cell_length_b 5.018
_cell_length_c 12.603
_cell_angle_alpha 90.00
_cell_angle_beta 90.00
_cell_angle_gamma 90.00
_space_group_name_H-M_alt 'I m m 2'
_space_group_IT_number 44
loop_
_space_group_symop_operation_xyz
'x,y,z'
'-x,-y,z'
'-x,y,z'
'x,-y,z'
'x+1/2,y+1/2,z+1/2'
'-x+1/2,-y+1/2,z+1/2'
'-x+1/2,y+1/2,z+1/2'
'x+1/2,-y+1/2,z+1/2'
loop_
_atom_site_label
_atom_site_type_symbol
_atom_site_fract_x
_atom_site_fract_y
_atom_site_fract_z
Ba1 Ba 0.000 0.000 0.000
Cd1 Cd 0.000 0.000 0.613
Cd2 Cd 0.000 0.500 0.250
In1 In 0.000 0.000 0.389
Pb1 Pb 0.000 0.500 0.746
```

Computed properties:
DFT formation energy in eV/f.u.: -1.6
DOS at the Fermi energy in states/eV per cell: 3.48

***

(15)
## Ba2Cd3In4Pb (PBE)

Data for a geometry-optimized Ba2Cd3In4Pb structure.

Geometry as CIF:
```
data_Ba2Cd3In4Pb
_cell_length_a 5.002
_cell_length_b 5.002
_cell_length_c 12.343
_cell_angle_alpha 90.00
_cell_angle_beta 90.00
_cell_angle_gamma 90.00
_space_group_name_H-M_alt 'P -4 m 2'
_space_group_IT_number 115
loop_
_space_group_symop_operation_xyz
'x,y,z'
'y,-x,-z'
'-x,-y,z'
'-y,x,-z'
'-x,y,z'
'-y,-x,-z'
'x,-y,z'
'y,x,-z'
loop_
_atom_site_label
_atom_site_type_symbol
_atom_site_fract_x
_atom_site_fract_y
_atom_site_fract_z
Ba1 Ba 0.000 0.500 0.247
Cd1 Cd 0.000 0.500 0.870
Cd2 Cd 0.500 0.500 0.500
In1 In 0.000 0.000 0.000
In2 In 0.000 0.500 0.640
In3 In 0.500 0.500 0.000
Pb1 Pb 0.000 0.000 0.500
```

Computed properties:
DFT formation energy in eV/f.u.: -3.3
DOS at the Fermi energy in states/eV per cell: 4.23

***

(16)
## Ba2Cd6InPb (PBE)

Data for a geometry-optimized Ba2Cd6InPb structure.

Geometry as CIF:
```
data_Ba2Cd6InPb
_cell_length_a 11.403
_cell_length_b 11.403
_cell_length_c 11.403
_cell_angle_alpha 90.00
_cell_angle_beta 90.00
_cell_angle_gamma 90.00
_space_group_name_H-M_alt 'F m -3 m'
_space_group_IT_number 225
_space_group_name_Hall '-F 4 2 3'
loop_
_atom_site_label
_atom_site_type_symbol
_atom_site_fract_x
_atom_site_fract_y
_atom_site_fract_z
Ba1 Ba 0.250 0.250 0.250
Cd1 Cd 0.000 0.000 0.245
In1 In 0.000 0.000 0.000
Pb1 Pb 0.000 0.000 0.500
```

Computed properties:
DFT formation energy in eV/f.u.: 0.4
DOS at the Fermi energy in states/eV per cell: 28.21

***

(17)
## Ba2CdIn4Pb3 (PBE)

Data for a geometry-optimized Ba2CdIn4Pb3 structure.

Geometry as CIF:
```
data_Ba2CdIn4Pb3
_cell_length_a 4.999
_cell_length_b 4.999
_cell_length_c 13.429
_cell_angle_alpha 90.00
_cell_angle_beta 90.00
_cell_angle_gamma 90.00
_space_group_name_H-M_alt 'P -4 m 2'
_space_group_IT_number 115
loop_
_space_group_symop_operation_xyz
'x,y,z'
'y,-x,-z'
'-x,-y,z'
'-y,x,-z'
'-x,y,z'
'-y,-x,-z'
'x,-y,z'
'y,x,-z'
loop_
_atom_site_label
_atom_site_type_symbol
_atom_site_fract_x
_atom_site_fract_y
_atom_site_fract_z
Ba1 Ba 0.000 0.500 0.243
Cd1 Cd 0.500 0.500 0.000
In1 In 0.000 0.000 0.500
In2 In 0.000 0.500 0.870
In3 In 0.500 0.500 0.500
Pb1 Pb 0.000 0.000 0.000
Pb2 Pb 0.000 0.500 0.643
```

Computed properties:
DFT formation energy in eV/f.u.: -2.7
DOS at the Fermi energy in states/eV per cell: 4.85

***

(18)
## Ba2Cd4In3Pb (PBE)

Data for a geometry-optimized Ba2Cd4In3Pb structure.

Geometry as CIF:
```
data_Ba2Cd4In3Pb
_cell_length_a 4.976
_cell_length_b 4.976
_cell_length_c 12.324
_cell_angle_alpha 90.00
_cell_angle_beta 90.00
_cell_angle_gamma 90.00
_space_group_name_H-M_alt 'P -4 m 2'
_space_group_IT_number 115
loop_
_space_group_symop_operation_xyz
'x,y,z'
'y,-x,-z'
'-x,-y,z'
'-y,x,-z'
'-x,y,z'
'-y,-x,-z'
'x,-y,z'
'y,x,-z'
loop_
_atom_site_label
_atom_site_type_symbol
_atom_site_fract_x
_atom_site_fract_y
_atom_site_fract_z
Ba1 Ba 0.000 0.500 0.244
Cd1 Cd 0.000 0.000 0.000
Cd2 Cd 0.000 0.500 0.641
Cd3 Cd 0.500 0.500 0.000
In1 In 0.000 0.500 0.871
In2 In 0.500 0.500 0.500
Pb1 Pb 0.000 0.000 0.500
```

Computed properties:
DFT formation energy in eV/f.u.: -3.3
DOS at the Fermi energy in states/eV per cell: 4.82

***

(19)
## BaCd2In4Pd (PBE)

Data for a geometry-optimized BaCd2In4Pd structure.

Geometry as CIF:
```
data_BaCd2In4Pd
_cell_length_a 4.9406
_cell_length_b 4.9406
_cell_length_c 30.3786
_cell_angle_alpha 90.00
_cell_angle_beta 90.00
_cell_angle_gamma 120.00
_space_group_name_H-M_alt 'R -3 m'
_space_group_IT_number 166
_space_group_name_Hall '-R 3 2"'
loop_
_atom_site_label
_atom_site_type_symbol
_atom_site_fract_x
_atom_site_fract_y
_atom_site_fract_z
Ba1 Ba 0.0000 0.0000 0.0000
Cd1 Cd 0.0000 0.0000 0.2480
In1 In 0.0000 0.0000 0.1368
In2 In 0.0000 0.0000 0.4072
Pd1 Pd 0.0000 0.0000 0.5000
```

Computed properties:
DFT formation energy in eV/f.u.: -2.0
DOS at the Fermi energy in states/eV per cell: 10.07

***

(20)
## Ba2Cd6InPd (PBE)

Data for a geometry-optimized Ba2Cd6InPd structure.

Geometry as CIF:
```
data_Ba2Cd6InPd
_cell_length_a 10.826
_cell_length_b 10.826
_cell_length_c 10.826
_cell_angle_alpha 90.00
_cell_angle_beta 90.00
_cell_angle_gamma 90.00
_space_group_name_H-M_alt 'F m -3 m'
_space_group_IT_number 225
_space_group_name_Hall '-F 4 2 3'
loop_
_atom_site_label
_atom_site_type_symbol
_atom_site_fract_x
_atom_site_fract_y
_atom_site_fract_z
Ba1 Ba 0.250 0.250 0.250
Cd1 Cd 0.000 0.000 0.241
In1 In 0.000 0.000 0.500
Pd1 Pd 0.000 0.000 0.000
```

Computed properties:
DFT formation energy in eV/f.u.: -1.8
DOS at the Fermi energy in states/eV per cell: 27.62